## La2TlIr (GGA-PBEsol)

Data for an optimized crystal structure of La2TlIr.

Computed properties:
- Energy above the most stable polymorph in this dataset: 0.0000 eV per atom
- Fermi-level density of states: 0.689 states/eV per atom

a b c (Å): 3.5256 3.5256 8.3841
angles (deg): 90.00 90.00 90.00
Space group P4/mmm (No. 123)
Unique sites:
La  0.0000  0.0000  0.2054
Tl  0.5000  0.5000  0.5000
Ir  0.5000  0.5000  0.0000

***

## La2TlIr (GGA-PBEsol)

Data for an optimized crystal structure of La2TlIr.

Computed properties:
- Energy above the most stable polymorph in this dataset: 0.1635 eV per atom
- Fermi-level density of states: 0.803 states/eV per atom

a b c (Å): 7.4319 7.4319 7.4319
angles (deg): 90.00 90.00 90.00
Space group Fm-3m (No. 225)
Unique sites:
La  0.2500  0.2500  0.2500
Tl  0.0000  0.0000  0.0000
Ir  0.0000  0.0000  0.5000

***

## La3TlIr (GGA-PBEsol)

Data for an optimized crystal structure of La3TlIr.

Computed properties:
- Energy above the most stable polymorph in this dataset: 0.1578 eV per atom
- Fermi-level density of states: 1.302 states/eV per atom

a b c (Å): 5.5181 5.5181 5.5181
angles (deg): 90.00 90.00 90.00
Space group Pm-3m (No. 221)
Unique sites:
La  0.0000  0.0000  0.5000
Tl  0.5000  0.5000  0.5000
Ir  0.0000  0.0000  0.0000

***

## LaTlIr (GGA-PBEsol)

Data for an optimized crystal structure of LaTlIr.

Computed properties:
- Fermi-level density of states: 1.017 states/eV per atom

a b c (Å): 4.6879 4.6879 3.7587
angles (deg): 90.00 90.00 120.00
Space group P3m1 (No. 156)
Unique sites:
La  0.0000  0.0000  0.0000
Tl  0.3333  0.6667  0.5000
Ir  0.6667  0.3333  0.4978

***

## La2TlIr (GGA-PBEsol)

Data for an optimized crystal structure of La2TlIr.

Computed properties:
- Energy above the most stable polymorph in this dataset: 0.4751 eV per atom
- Fermi-level density of states: 1.260 states/eV per atom

a b c (Å): 3.9885 3.9885 25.9308
angles (deg): 90.00 90.00 120.00
Space group R3m (No. 160, hexagonal axes)
Unique sites:
La  0.0000  0.0000  0.0000
La  0.0000  0.0000  0.2080
Tl  0.0000  0.0000  0.4500
Ir  0.0000  0.0000  0.7277

***

## La3TlIr (GGA-PBEsol)

Data for an optimized crystal structure of La3TlIr.

Computed properties:
- Energy above the most stable polymorph in this dataset: 0.0000 eV per atom
- Fermi-level density of states: 0.724 states/eV per atom

a b c (Å): 7.5251 8.9948 8.6830
angles (deg): 90.00 90.00 90.00
Space group Cmmm (No. 65)
Unique sites:
La  0.0000  0.2127  0.0000
La  0.2356  0.5000  0.3130
Tl  0.0000  0.2392  0.5000
Ir  0.1916  0.5000  0.0000

***

| no. | magnetization (μB/cell) | calculated total energy (eV per atom) |
| --- | --- | --- |
| 1 | 0.00 | -6.307 |
| 2 | 0.00 | -6.143 |
| 3 | 0.00 | -6.057 |
| 4 | 0.00 | -6.176 |
| 5 | 0.00 | -5.832 |
| 6 | 0.00 | -6.215 |